[1]
Here is a relaxed PmPr3Ru2 crystal from the Alexandria database. Energies are from GGA-PBE.

Cell: 4.3460 8.6328 10.7013 Å, 69.98 78.28 75.42°
Element x y z (fractional)
Pm  0.4265  0.4808  0.6662
Pm  0.5735  0.5192  0.3338
Pr  0.0531  0.1152  0.7786
Pr  0.9469  0.8848  0.2214
Pr  0.6679  0.6924  0.9718
Pr  0.3321  0.3076  0.0282
Pr  0.7868  0.8309  0.5955
Pr  0.2132  0.1691  0.4045
Ru  0.8629  0.4316  0.8426
Ru  0.1371  0.5684  0.1574
Ru  0.6174  0.1836  0.5816
Ru  0.3826  0.8164  0.4184

Computed properties:
formation energy from the elements	-0.119	eV/atom
electronic total energy	-76.71	eV/cell



[2]
Here is a relaxed Pm3Pr3Ru2 crystal from the Alexandria database. Energies are from GGA-PBE.

Cell: 5.2653 6.7616 14.5116 Å, 90.00 90.00 112.91°
Element x y z (fractional)
Pm  0.6567  0.3134  0.4856
Pm  0.3433  0.6866  0.9856
Pm  0.6567  0.3134  0.0144
Pm  0.3433  0.6866  0.5144
Pm  0.2997  0.5994  0.2500
Pm  0.7003  0.4006  0.7500
Pr  0.9391  0.8781  0.3832
Pr  0.0609  0.1219  0.8832
Pr  0.9391  0.8781  0.1168
Pr  0.0609  0.1219  0.6168
Pr  0.6021  0.2043  0.2500
Pr  0.3979  0.7957  0.7500
Ru  0.8417  0.6833  0.9003
Ru  0.1583  0.3167  0.4003
Ru  0.8417  0.6833  0.5997
Ru  0.1583  0.3167  0.0997

Computed properties:
formation energy from the elements	-0.104	eV/atom
electronic total energy	-95.94	eV/cell



[3]
Here is a relaxed Pm5Pr2Ru4 crystal from the Alexandria database. Energies are from GGA-PBE.

Cell: 6.6995 7.2219 8.2087 Å, 74.61 65.92 62.37°
Element x y z (fractional)
Pm  0.1822  0.2480  0.9014
Pm  0.8178  0.7520  0.0986
Pm  0.0000  0.5000  0.5000
Pm  0.6684  0.2480  0.9014
Pm  0.3316  0.7520  0.0986
Pr  0.2752  0.8309  0.6188
Pr  0.7248  0.1691  0.3812
Ru  0.3388  0.0339  0.2885
Ru  0.6612  0.9661  0.7115
Ru  0.7881  0.5893  0.8346
Ru  0.2119  0.4107  0.1654

Computed properties:
formation energy from the elements	0.063	eV/atom
electronic total energy	-69.73	eV/cell



[4]
Here is a relaxed Pm2Pr2Ru3 crystal from the Alexandria database. Energies are from GGA-PBE.

Cell: 4.9908 4.9919 8.4363 Å, 107.23 89.99 120.02°
Element x y z (fractional)
Pm  0.6249  0.2496  0.8742
Pm  0.3751  0.7504  0.1258
Pr  0.8752  0.7508  0.6261
Pr  0.1248  0.2492  0.3739
Ru  0.0000  0.0000  0.0000
Ru  0.7475  0.4958  0.2435
Ru  0.2525  0.5042  0.7565

Computed properties:
formation energy from the elements	-0.098	eV/atom
electronic total energy	-47.58	eV/cell



[5]
Here is a relaxed PmPrRu crystal from the Alexandria database. Energies are from GGA-PBE.

Cell: 3.5023 3.5023 7.2966 Å, 103.89 103.89 90.00°
Element x y z (fractional)
Pr  0.0413  0.0413  0.0826
Ru  0.6687  0.6687  0.3373
Pm  0.2900  0.2900  0.5801

Computed properties:
formation energy from the elements	-0.148	eV/atom
energy above the most stable polymorph in this dataset	0.00	eV per formula unit
electronic total energy	-19.25	eV/cell



[6]
Here is a relaxed PmPr2Ru crystal from the Alexandria database. Energies are from GGA-PBE.

Cell: 3.7641 3.7641 10.8767 Å, 80.04 80.04 60.00°
Element x y z (fractional)
Pr  0.1101  0.1101  0.6696
Pr  0.8899  0.8899  0.3304
Ru  0.5000  0.5000  0.5000
Pm  0.0000  0.0000  0.0000

Computed properties:
formation energy from the elements	0.218	eV/atom
energy above the most stable polymorph in this dataset	1.59	eV per formula unit
electronic total energy	-22.72	eV/cell



[7]
Here is a relaxed PmPr8Ru2 crystal from the Alexandria database. Energies are from GGA-PBE.

Cell: 7.4643 7.7358 7.7358 Å, 67.72 108.46 108.46°
Element x y z (fractional)
Pm  0.0000  0.0000  0.0000
Pr  0.3023  0.4203  0.8120
Pr  0.6977  0.1880  0.5797
Pr  0.3045  0.8780  0.8780
Pr  0.6955  0.1220  0.1220
Pr  0.3023  0.8120  0.4203
Pr  0.6977  0.5797  0.1880
Pr  0.8079  0.6683  0.6683
Pr  0.1921  0.3317  0.3317
Ru  0.5991  0.8049  0.8049
Ru  0.4009  0.1951  0.1951

Computed properties:
formation energy from the elements	0.024	eV/atom
electronic total energy	-61.27	eV/cell



[8]
Here is a relaxed Pm6PrRu4 crystal from the Alexandria database. Energies are from GGA-PBE.

Cell: 7.6155 7.6155 7.6155 Å, 84.40 123.28 123.28°
Element x y z (fractional)
Pm  0.0000  0.8949  0.5327
Pm  0.0000  0.5327  0.8949
Pm  0.6378  0.1051  0.1051
Pm  0.5000  0.0000  0.5000
Pm  0.3622  0.4673  0.4673
Pm  0.5000  0.5000  0.0000
Pr  0.0000  0.0000  0.0000
Ru  0.0000  0.2654  0.5884
Ru  0.6771  0.4116  0.4116
Ru  0.0000  0.5884  0.2654
Ru  0.3229  0.7346  0.7346

Computed properties:
formation energy from the elements	-0.111	eV/atom
electronic total energy	-71.61	eV/cell



Number 1: Fermi-level density of states 0.657 states/eV/atom. Number 2: Fermi-level density of states 0.943 states/eV/atom. Number 3: Fermi-level density of states 0.826 states/eV/atom. Number 4: Fermi-level density of states 0.837 states/eV/atom. Number 5: Fermi-level density of states 0.737 states/eV/atom. Number 6: Fermi-level density of states 1.495 states/eV/atom. Number 7: Fermi-level density of states 0.967 states/eV/atom. Number 8: Fermi-level density of states 0.702 states/eV/atom.